[1]
The following is a DFT calculation (PBE) of crystalline NaTl14Bi at its relaxed geometry.

Summary:
Crystal system: orthorhombic

a b c (Å): 11.405 7.018 12.189
angles (deg): 90.00 90.00 90.00
Space group Amm2 (No. 38)
Symmetry-distinct sites (fractional):
Na 0.000 0.000 0.000 [2 per cell]
Tl 0.000 0.244 0.250 [4 per cell]
Tl 0.247 0.000 0.670 [4 per cell]
Tl 0.248 0.247 0.418 [8 per cell]
Tl 0.253 0.000 0.168 [4 per cell]
Tl 0.500 0.000 0.331 [2 per cell]
Tl 0.500 0.000 0.836 [2 per cell]
Tl 0.500 0.249 0.583 [4 per cell]
Bi 0.000 0.000 0.503 [2 per cell]



[2]
The following is a DFT calculation (PBE) of crystalline Na4TlBi at its relaxed geometry.

Summary:
Crystal system: cubic

a b c (Å): 9.005 9.005 9.005
angles (deg): 90.00 90.00 90.00
Space group F-43m (No. 216)
Symmetry-distinct sites (fractional):
Na 0.125 0.125 0.125 [16 per cell]
Tl 0.000 0.000 0.500 [4 per cell]
Bi 0.250 0.250 0.750 [4 per cell]



[3]
The following is a DFT calculation (PBE) of crystalline Na3TlBi3 at its relaxed geometry.

Summary:
Crystal system: cubic

a b c (Å): 8.543 8.543 8.543
angles (deg): 90.00 90.00 90.00
Space group Pm-3n (No. 223)
Symmetry-distinct sites (fractional):
Na 0.000 0.250 0.500 [6 per cell]
Tl 0.000 0.000 0.000 [2 per cell]
Bi 0.000 0.500 0.250 [6 per cell]



[4]
The following is a DFT calculation (PBE) of crystalline Na3TlBi at its relaxed geometry.

Summary:
Crystal system: monoclinic

a b c (Å): 6.558 5.408 8.731
angles (deg): 90.00 105.80 90.00
Space group P2_1/m (No. 11)
Symmetry-distinct sites (fractional):
Na 0.011 0.250 0.316 [2 per cell]
Na 0.330 0.750 0.479 [2 per cell]
Na 0.449 0.250 0.106 [2 per cell]
Tl 0.091 0.750 0.093 [2 per cell]
Bi 0.293 0.250 0.705 [2 per cell]



[5]
The following is a DFT calculation (PBE) of crystalline NaTl6Bi3 at its relaxed geometry.

Summary:
Crystal system: monoclinic

a b c (Å): 11.481 5.326 12.423
angles (deg): 90.00 113.97 90.00
Space group P2_1/m (No. 11)
Symmetry-distinct sites (fractional):
Na 0.139 0.250 0.248 [2 per cell]
Tl 0.077 0.250 0.826 [2 per cell]
Tl 0.118 0.750 0.017 [2 per cell]
Tl 0.139 0.250 0.549 [2 per cell]
Tl 0.328 0.750 0.292 [2 per cell]
Tl 0.387 0.750 0.952 [2 per cell]
Tl 0.400 0.750 0.660 [2 per cell]
Bi 0.124 0.750 0.700 [2 per cell]
Bi 0.331 0.250 0.095 [2 per cell]
Bi 0.398 0.250 0.502 [2 per cell]



[6]
The following is a DFT calculation (PBE) of crystalline NaTl4Bi at its relaxed geometry.

Summary:
Crystal system: monoclinic

a b c (Å): 6.727 18.817 6.789
angles (deg): 90.00 119.44 90.00
Space group C2/c (No. 15)
Symmetry-distinct sites (fractional):
Na 0.000 0.125 0.250 [4 per cell]
Tl 0.248 0.034 0.750 [8 per cell]
Tl 0.248 0.284 0.249 [8 per cell]
Bi 0.000 0.375 0.750 [4 per cell]



[7]
The following is a DFT calculation (PBE) of crystalline NaTl3Bi2 at its relaxed geometry.

Summary:
Crystal system: monoclinic

a b c (Å): 17.992 4.856 10.289
angles (deg): 90.00 124.67 90.00
Space group C2/m (No. 12)
Symmetry-distinct sites (fractional):
Na 0.085 0.000 0.450 [4 per cell]
Tl 0.084 0.000 0.951 [4 per cell]
Tl 0.084 0.500 0.203 [4 per cell]
Tl 0.250 0.000 0.372 [4 per cell]
Bi 0.082 0.500 0.689 [4 per cell]
Bi 0.243 0.000 0.862 [4 per cell]



[8]
The following is a DFT calculation (PBE) of crystalline Na3Tl7Bi2 at its relaxed geometry.

Summary:
Crystal system: trigonal

a b c (Å): 6.5635 6.5635 32.5697
angles (deg): 90.00 90.00 120.00
Space group R-3m (No. 166, hexagonal axes)
Symmetry-distinct sites (fractional):
Na 0.0000 0.0000 0.0000 [3 per cell]
Na 0.0000 0.0000 0.1348 [6 per cell]
Tl 0.0000 0.0000 0.5000 [3 per cell]
Tl 0.0075 0.5037 0.9142 [18 per cell]
Bi 0.0000 0.0000 0.3346 [6 per cell]



[9]
The following is a DFT calculation (PBE) of crystalline Na3Tl4Bi2 at its relaxed geometry.

Summary:
Crystal system: monoclinic

a b c (Å): 10.190 5.814 10.004
angles (deg): 90.00 107.60 90.00
Space group C2/m (No. 12)
Symmetry-distinct sites (fractional):
Na 0.000 0.000 0.000 [2 per cell]
Na 0.133 0.500 0.383 [4 per cell]
Tl 0.044 0.000 0.675 [4 per cell]
Tl 0.173 0.500 0.046 [4 per cell]
Bi 0.230 0.500 0.729 [4 per cell]



[10]
The following is a DFT calculation (PBE) of crystalline Na4TlBi at its relaxed geometry.

Summary:
Crystal system: orthorhombic

a b c (Å): 5.475 15.169 9.172
angles (deg): 90.00 90.00 90.00
Space group Cmc2_1 (No. 36)
Symmetry-distinct sites (fractional):
Na 0.000 0.024 0.000 [4 per cell]
Na 0.000 0.195 0.689 [4 per cell]
Na 0.000 0.280 0.014 [4 per cell]
Na 0.000 0.444 0.736 [4 per cell]
Tl 0.000 0.366 0.387 [4 per cell]
Bi 0.000 0.166 0.322 [4 per cell]



[11]
The following is a DFT calculation (PBE) of crystalline Na4Tl15Bi at its relaxed geometry.

Summary:
Crystal system: tetragonal

a b c (Å): 5.040 5.040 23.447
angles (deg): 90.00 90.00 90.00
Space group P4/mmm (No. 123)
Symmetry-distinct sites (fractional):
Na 0.000 0.000 0.098 [2 per cell]
Na 0.000 0.000 0.295 [2 per cell]
Tl 0.000 0.500 0.000 [2 per cell]
Tl 0.000 0.500 0.196 [4 per cell]
Tl 0.000 0.500 0.397 [4 per cell]
Tl 0.500 0.500 0.101 [2 per cell]
Tl 0.500 0.500 0.292 [2 per cell]
Tl 0.500 0.500 0.500 [1 per cell]
Bi 0.000 0.000 0.500 [1 per cell]



[12]
The following is a DFT calculation (PBE) of crystalline Na4Tl7Bi at its relaxed geometry.

Summary:
Crystal system: monoclinic

a b c (Å): 15.316 6.132 9.050
angles (deg): 90.00 113.97 90.00
Space group C2/m (No. 12)
Symmetry-distinct sites (fractional):
Na 0.173 0.000 0.349 [4 per cell]
Na 0.175 0.500 0.871 [4 per cell]
Tl 0.000 0.500 0.500 [2 per cell]
Tl 0.058 0.500 0.191 [4 per cell]
Tl 0.078 0.000 0.922 [4 per cell]
Tl 0.224 0.000 0.740 [4 per cell]
Bi 0.000 0.000 0.500 [2 per cell]



What are the formation enthalpy at 0 K values for these records? In order: -0.021; -0.051; 0.406; -0.258; -0.027; -0.062; -0.081; -0.015; -0.153; -0.207; -0.064; -0.025 eV/atom.
What are the total magnetization values for these records? In order: 0.00; 0.00; 0.35; 0.00; 0.00; 0.00; 0.00; 0.00; 0.00; 0.00; 0.00; 0.00 μB/atom.